# ScCo2PdO

A relaxed ScCo2PdO crystal (PBE with a Hubbard U, the Alexandria database).

Cell lengths 4.732, 3.971, 4.732 Å; angles 90.00, 90.00, 90.00 degrees
Positions (direct):
Sc: 0.500 0.500 0.500
Co: 0.000 0.000 0.500
Co: 0.500 0.000 0.000
O: 0.000 0.500 0.000
Pd: 0.000 0.000 0.000

Output
N(E_F) ... 0.7786 states/eV per atom
Total magnetization ... 3.7 μB per formula unit
Raw total energy ... -23.835 eV/cell